[1]
Below is crystalline TiHI2 at its relaxed geometry, with properties calculated at the PBE level.

Computed properties:
Its symmetry is No. 225. As for the electronic total energy: -13.3 eV per formula unit. The calculation puts the density of states at the Fermi level at 0.227 states/eV/atom.

Lattice parameters (Å, degrees): 7.0697 7.0697 7.0697 90.00 90.00 90.00
Closest atoms and distances in Å follow each position.
Sites, in units of the cell vectors:
Ti  0.0000  0.0000  0.0000  8 I 3.06
Ti  0.0000  0.5000  0.5000  8 I 3.06
Ti  0.5000  0.0000  0.5000  8 I 3.06
Ti  0.5000  0.5000  0.0000  8 I 3.06
H  0.0000  0.0000  0.5000  8 I 3.06
H  0.0000  0.5000  0.0000  8 I 3.06
H  0.5000  0.0000  0.0000  8 I 3.06
H  0.5000  0.5000  0.5000  8 I 3.06
I  0.2500  0.2500  0.2500  4 H 3.06, 4 Ti 3.06
I  0.2500  0.2500  0.7500  4 H 3.06, 4 Ti 3.06
I  0.2500  0.7500  0.2500  4 H 3.06, 4 Ti 3.06
I  0.2500  0.7500  0.7500  4 H 3.06, 4 Ti 3.06
I  0.7500  0.2500  0.2500  4 H 3.06, 4 Ti 3.06
I  0.7500  0.2500  0.7500  4 H 3.06, 4 Ti 3.06
I  0.7500  0.7500  0.2500  4 H 3.06, 4 Ti 3.06
I  0.7500  0.7500  0.7500  4 H 3.06, 4 Ti 3.06

***

[2]
Below is crystalline TiHI3 at its relaxed geometry, with properties calculated at the PBE level.

Computed properties:
Its symmetry is No. 12. The value obtained for the energy above the most stable polymorph in this dataset is 0.0 meV per atom. The calculation puts the density of states at the Fermi level at 0.160 states/eV/atom.

Lattice parameters (Å, degrees): 8.4587 8.4587 10.1736 100.55 100.55 29.06
Closest atoms and distances in Å follow each position.
Sites, in units of the cell vectors:
Ti  0.2284  0.2284  0.1384  6 I 2.80-3.02
Ti  0.7716  0.7716  0.8616  6 I 2.80-3.02
H  0.1424  0.1424  0.4570  1 I 1.70
H  0.8576  0.8576  0.5430  1 I 1.70
I  0.0897  0.0897  0.2961  1 H 1.70
I  0.1959  0.1959  0.6884  1 H 2.35
I  0.3664  0.3664  0.0123  3 Ti 2.80-2.89
I  0.6336  0.6336  0.9877  3 Ti 2.80-2.89
I  0.8041  0.8041  0.3116  1 H 2.35
I  0.9103  0.9103  0.7039  1 H 1.70

***

[3]
Below is crystalline TiHI at its relaxed geometry, with properties calculated at the PBE level.

Computed properties:
Its symmetry is No. 11. As for the electronic total energy: -14.1 eV per formula unit. The calculation puts the density of states at the Fermi level at 0.532 states/eV/atom.

Lattice parameters (Å, degrees): 4.7200 3.5368 7.3261 90.00 98.66 90.00
Closest atoms and distances in Å follow each position.
Sites, in units of the cell vectors:
Ti  0.2411  0.2500  0.0083  3 H 1.89-1.99
Ti  0.7589  0.7500  0.9917  3 H 1.89-1.99
H  0.1455  0.7500  0.1072  3 Ti 1.89-1.99
H  0.8545  0.2500  0.8928  3 Ti 1.89-1.99
I  0.2976  0.7500  0.7171  3 Ti 2.73-2.81, 1 H 3.05
I  0.7024  0.2500  0.2829  3 Ti 2.73-2.81, 1 H 3.05

***

[4]
Below is crystalline TiHI2 at its relaxed geometry, with properties calculated at the PBE level.

Computed properties:
Its symmetry is No. 122. As for the electronic total energy: -13.3 eV per formula unit. The calculation puts the density of states at the Fermi level at 1.242 states/eV/atom.

Lattice parameters (Å, degrees): 6.1374 6.1374 11.5066 90.00 90.00 90.00
Closest atoms and distances in Å follow each position.
Sites, in units of the cell vectors:
Ti  0.0000  0.0000  0.0000  4 I 2.71
Ti  0.0000  0.5000  0.2500  4 I 2.71
Ti  0.5000  0.0000  0.7500  4 I 2.71
Ti  0.5000  0.5000  0.5000  4 I 2.71
H  0.0000  0.0000  0.5000  4 I 2.50
H  0.0000  0.5000  0.7500  4 I 2.50
H  0.5000  0.0000  0.2500  4 I 2.50
H  0.5000  0.5000  0.0000  4 I 2.50
I  0.2211  0.2500  0.6250  2 H 2.50, 2 Ti 2.71
I  0.2500  0.7211  0.8750  2 H 2.50, 2 Ti 2.71
I  0.2500  0.7789  0.3750  2 H 2.50, 2 Ti 2.71
I  0.2789  0.2500  0.1250  2 H 2.50, 2 Ti 2.71
I  0.7211  0.7500  0.1250  2 H 2.50, 2 Ti 2.71
I  0.7500  0.2211  0.3750  2 H 2.50, 2 Ti 2.71
I  0.7500  0.2789  0.8750  2 H 2.50, 2 Ti 2.71
I  0.7789  0.7500  0.6250  2 H 2.50, 2 Ti 2.71